The following is a DFT calculation (PBE) of an optimized crystal structure of CoCuSiNi.

Results
N(E_F), states/eV per cell: 10.60
Energy, eV/atom: -5.8859
Theoretical density, Mg/m³: 7.9
Crystal system: cubic

Unit cell a=5.602 b=5.602 c=5.602 alpha=90.00 beta=90.00 gamma=90.00
Space group F-43m (No. 216)
Unique sites:
Co: 0.000 0.000 0.000 (multiplicity 4)
Cu: 0.250 0.250 0.750 (multiplicity 4)
Si: 0.250 0.250 0.250 (multiplicity 4)
Ni: 0.000 0.000 0.500 (multiplicity 4)



The following is a DFT calculation (PBE) of an optimized crystal structure of TaHg2RuPb.

Results
N(E_F), states/eV per cell: 4.29
ΔH_f (0 K), meV/atom: 920
Energy, eV/atom: -4.1683
Theoretical density, Mg/m³: 10.7
Crystal system: tetragonal

Unit cell a=5.466 b=5.466 c=4.636 alpha=90.00 beta=90.00 gamma=90.00
Space group P4/mmm (No. 123)
Unique sites:
Ta: 0.000 0.000 0.000 (multiplicity 1)
Hg: 0.000 0.500 0.000 (multiplicity 2)
Ru: 0.000 0.000 0.500 (multiplicity 1)
Pb: 0.500 0.500 0.500 (multiplicity 1)